# 1
SmDy10Er4: relaxed, PBE.

Output
Total energy   -4.251 eV/atom
ΔH_f (0 K)   0.349 eV/atom
D(E_F)   1.51 states/eV/atom

Cell: 9.6616 9.6616 10.4463 Å, 90.00 90.00 90.00°
Space group I4/m (No. 87)
Symmetry-distinct sites (fractional):
Sm  0.0000  0.0000  0.0000
Dy  0.0000  0.5000  0.2500
Dy  0.1128  0.2142  0.3411
Er  0.0693  0.3360  0.0000



# 2
Sm2Dy3Er8: relaxed, PBE.

Output
Total energy   -4.349 eV/atom
ΔH_f (0 K)   0.247 eV/atom
D(E_F)   1.75 states/eV/atom

Cell: 20.4956 7.5609 5.5200 Å, 90.00 90.02 90.00°
Space group C2/m (No. 12)
Symmetry-distinct sites (fractional):
Sm  0.2409  0.0000  0.4994
Dy  0.0000  0.0000  0.5000
Dy  0.0000  0.2864  0.0000
Er  0.1078  0.2869  0.5002
Er  0.1300  0.0000  0.9999
Er  0.1630  0.5000  0.0005



# 3
Sm5Dy2Er3: relaxed, PBE.

Output
Total energy   -4.455 eV/atom
ΔH_f (0 K)   0.194 eV/atom
Offset from the most stable computed form   0 meV/atom
D(E_F)   1.86 states/eV/atom

Cell: 10.6963 15.2636 9.7407 Å, 90.00 123.29 90.00°
Space group C2/c (No. 15)
Symmetry-distinct sites (fractional):
Sm  0.0000  0.0257  0.2500
Sm  0.0000  0.2324  0.2500
Sm  0.0000  0.2710  0.7500
Sm  0.2383  0.3845  0.2272
Dy  0.1559  0.3806  0.5504
Er  0.0000  0.4706  0.7500
Er  0.1459  0.1228  0.0516



# 4
Sm2DyEr5: relaxed, PBE.

Output
Total energy   -4.467 eV/atom
ΔH_f (0 K)   0.140 eV/atom
Offset from the most stable computed form   120 meV/atom
D(E_F)   1.67 states/eV/atom

Cell: 5.6289 16.2378 11.3955 Å, 90.00 90.00 90.00°
Space group Cmcm (No. 63)
Symmetry-distinct sites (fractional):
Sm  0.0000  0.2109  0.0825
Dy  0.0000  0.2275  0.7500
Er  0.0000  0.0441  0.6123
Er  0.0000  0.3955  0.2500
Er  0.0000  0.4137  0.5787



| no. | magnetic moment (μB/atom) |
| --- | --- |
| 1 | 0.0000 |
| 2 | 0.0000 |
| 3 | 0.0000 |
| 4 | 0.0000 |